Entry 1:
## Pr2PuZn3Pt4 (PBE-GGA)

Data for a relaxed structure of Pr2PuZn3Pt4.

Geometry as extended XYZ:
```
10
Lattice="4.248 0.000 0.000 0.000 4.248 0.000 0.000 0.000 11.534" Properties=species:S:1:pos:R:3 pbc="T T T"
Pr 2.124 0.000 2.622
Pr 0.000 2.124 8.912
Pu 2.124 2.124 5.767
Zn 0.000 0.000 5.767
Zn 2.124 0.000 10.108
Zn 0.000 2.124 1.427
Pt 2.124 2.124 0.000
Pt 0.000 0.000 0.000
Pt 2.124 0.000 7.593
Pt 0.000 2.124 3.941
```

Results
- calculated total energy (eV per atom) = -5.91
- magnetic moment (μB/atom) = 0.58
- DFT formation energy (eV/atom) = -0.73
- mass density (g cm⁻³) = 12.0

Entry 2:
## RbPrPt10 (PBE-GGA)

Data for a relaxed structure of RbPrPt10.

Geometry as extended XYZ:
```
12
Lattice="4.377 0.000 0.000 0.000 5.549 0.000 0.000 0.000 9.517" Properties=species:S:1:pos:R:3 pbc="T T T"
Rb 0.000 0.000 0.000
Pr 0.000 2.775 4.758
Pt 0.000 0.000 3.212
Pt 0.000 2.775 7.886
Pt 0.000 2.775 1.631
Pt 0.000 0.000 6.304
Pt 2.189 0.000 4.758
Pt 2.189 2.775 0.000
Pt 2.189 1.413 2.455
Pt 2.189 4.136 7.061
Pt 2.189 4.136 2.455
Pt 2.189 1.413 7.061
```

Results
- calculated total energy (eV per atom) = -5.90
- magnetic moment (μB/atom) = 0.00
- DFT formation energy (eV/atom) = -0.38
- mass density (g cm⁻³) = 15.6

Entry 3:
## RbPrPt4 (PBE-GGA)

Data for a relaxed structure of RbPrPt4.

Geometry as extended XYZ:
```
6
Lattice="-1.556 -3.441 4.098 0.344 -5.516 -0.712 3.835 -2.934 2.781" Properties=species:S:1:pos:R:3 pbc="T T T"
Pr 0.656 -2.973 1.542
Rb 0.000 0.000 0.000
Pt -0.275 -5.964 2.465
Pt 1.467 -4.676 4.209
Pt 1.639 -7.429 3.853
Pt 2.416 -5.712 1.807
```

Results
- calculated total energy (eV per atom) = -5.56
- magnetic moment (μB/atom) = 0.00
- DFT formation energy (eV/atom) = -0.58
- mass density (g cm⁻³) = 13.7

Entry 4:
## RbPr2Pt (PBE-GGA)

Data for a relaxed structure of RbPr2Pt.

Geometry as extended XYZ:
```
4
Lattice="-1.223 3.502 -2.300 -4.160 1.319 0.080 0.543 8.428 8.404" Properties=species:S:1:pos:R:3 pbc="T T T"
Pr -0.334 5.868 4.972
Pr -4.506 7.381 1.212
Rb 0.000 0.000 0.000
Pt -2.420 6.624 3.092
```

Results
- calculated total energy (eV per atom) = -4.53
- magnetic moment (μB/atom) = 0.00
- DFT formation energy (eV/atom) = -0.39
- mass density (g cm⁻³) = 4.9

Entry 5:
## Pr8Pt5Rh (PBE-GGA)

Data for a relaxed structure of Pr8Pt5Rh.

Geometry as extended XYZ:
```
14
Lattice="-6.451 -2.861 -3.458 4.180 -5.894 3.089 -2.130 4.993 5.682" Properties=species:S:1:pos:R:3 pbc="T T T"
Pr 0.170 0.178 7.505
Pr -1.077 2.943 4.688
Pr -4.567 -1.741 0.311
Pr -4.350 0.383 3.964
Pr -1.165 -3.868 1.638
Pr -2.230 -2.513 5.472
Pr -1.344 -0.278 2.101
Pr 1.280 -2.298 4.713
Pt 1.294 -1.573 1.882
Pt -2.507 -6.405 1.084
Pt -3.575 -2.716 2.882
Pt -4.291 1.066 1.112
Pt -4.014 3.170 4.779
Rh -1.120 0.082 4.942
```

Results
- calculated total energy (eV per atom) = -6.31
- magnetic moment (μB/atom) = 0.00
- DFT formation energy (eV/atom) = -0.89
- mass density (g cm⁻³) = 9.8

Entry 6:
## Pr8PtRh2 (PBE-GGA)

Data for a relaxed structure of Pr8PtRh2.

Geometry as extended XYZ:
```
11
Lattice="6.423 0.085 -1.066 -2.060 6.864 -2.961 -0.189 -0.200 7.749" Properties=species:S:1:pos:R:3 pbc="T T T"
Pr 3.074 2.448 -1.014
Pr 3.573 0.565 1.841
Pr 0.319 2.422 1.542
Pr 5.725 1.317 4.501
Pr 4.621 5.486 -1.820
Pr 3.632 4.391 2.263
Pr 0.298 6.214 1.940
Pr 0.801 4.317 4.815
Pt 1.192 0.088 -0.150
Rh 1.643 4.712 -0.087
Rh 2.336 2.094 3.881
```

Results
- calculated total energy (eV per atom) = -5.75
- magnetic moment (μB/atom) = 0.00
- distance to the lowest polymorph of the same formula (kJ/mol of atoms) = 0.0
- DFT formation energy (eV/atom) = -0.39
- mass density (g cm⁻³) = 7.5